{"formula": "Rb2TiW", "functional": "PBE-GGA", "state": "relaxed", "lattice_angstrom": [[-6.730, 6.730, 2.299], [6.730, -6.730, 2.299], [6.730, 6.730, -2.299]], "species": ["Rb", "Rb", "Rb", "Rb", "Ti", "Ti", "W", "W"], "frac_coords": [[0.375, 0.208, 0.333], [0.792, 0.125, 0.167], [0.875, 0.042, 0.667], [0.958, 0.625, 0.833], [0.250, 0.750, 0.500], [0.500, 0.500, 0.000], [0.000, 0.000, 0.000], [0.750, 0.250, 0.500]], "sg": "I-42d, No. 122", "mass_density_g_cm3": 3.211, "e_tot_ev_per_atom": -4.020}